{
  "formula": "AgOs2Ru",
  "functional": "GGA-PBE",
  "state": "optimized geometry",
  "lattice": [[-0.240, 5.424, -1.521], [-3.667, 3.680, 2.193], [4.320, -3.595, 0.456]],
  "species": ["Ag", "Os", "Os", "Ru"],
  "fractional_positions": [[0.250, 0.750, 0.500], [0.971, 0.971, 0.000], [0.529, 0.529, 0.000], [0.750, 0.250, 0.500]],
  "spacegroup": "No. 71"
}

---

{
  "formula": "AgOs2Ru",
  "functional": "GGA-PBE",
  "state": "optimized geometry",
  "lattice": [[-0.091, -0.472, -2.664], [-1.753, -1.295, 1.606], [-6.263, 7.172, -1.056]],
  "species": ["Ag", "Ru", "Os", "Os"],
  "fractional_positions": [[0.500, 0.500, 0.748], [0.000, 0.000, 0.486], [0.500, 0.500, 0.252], [0.000, 0.000, 0.014]],
  "spacegroup": "No. 35"
}

---

{
  "formula": "AgOs2Ru",
  "functional": "GGA-PBE",
  "state": "optimized geometry",
  "lattice": [[2.699, -0.005, 0.000], [-1.288, 2.372, 0.000], [0.000, 0.000, 9.610]],
  "species": ["Os", "Os", "Ag", "Ru"],
  "fractional_positions": [[0.000, 0.000, 0.486], [0.000, 0.000, 0.014], [0.500, 0.500, 0.750], [0.500, 0.500, 0.250]],
  "spacegroup": "No. 65"
}

---

{
  "formula": "AgOs4Ru",
  "functional": "GGA-PBE",
  "state": "optimized geometry",
  "lattice": [[4.231, 0.511, 2.874], [-0.210, 2.561, 4.452], [0.408, -2.542, 4.449]],
  "species": ["Os", "Os", "Os", "Os", "Ru", "Ag"],
  "fractional_positions": [[0.625, 0.625, 0.625], [0.126, 0.625, 0.625], [0.625, 0.126, 0.625], [0.625, 0.625, 0.126], [0.250, 0.250, 0.250], [0.000, 0.000, 0.000]],
  "spacegroup": "No. 216"
}

---

{
  "formula": "AgOsRu2",
  "functional": "GGA-PBE",
  "state": "optimized geometry",
  "lattice": [[2.754, 0.000, 0.000], [0.000, 2.754, 0.000], [0.000, 0.000, 7.919]],
  "species": ["Ru", "Ru", "Ag", "Os"],
  "fractional_positions": [[0.000, 0.000, 0.980], [0.000, 0.000, 0.520], [0.500, 0.500, 0.250], [0.500, 0.500, 0.750]],
  "spacegroup": "No. 123"
}

---

{
  "formula": "AgOsRu2",
  "functional": "GGA-PBE",
  "state": "optimized geometry",
  "lattice": [[9.351, 0.001, 0.000], [8.951, 2.707, 0.000], [8.951, 1.324, 2.361]],
  "species": ["Ru", "Ru", "Ag", "Os"],
  "fractional_positions": [[0.000, 0.000, 0.000], [0.256, 0.256, 0.256], [0.500, 0.500, 0.500], [0.744, 0.744, 0.744]],
  "spacegroup": "No. 160"
}

---

{
  "formula": "Ag2OsRu",
  "functional": "GGA-PBE",
  "state": "optimized geometry",
  "lattice": [[4.138, -0.113, -1.671], [2.809, -3.250, 1.213], [1.140, -3.172, -2.927]],
  "species": ["Os", "Ag", "Ag", "Ru"],
  "fractional_positions": [[0.500, 0.500, 0.500], [0.250, 0.250, 0.250], [0.750, 0.750, 0.750], [0.000, 0.000, 0.000]],
  "spacegroup": "No. 225"
}

---

{
  "formula": "AgOsRu2",
  "functional": "GGA-PBE",
  "state": "optimized geometry",
  "lattice": [[-1.514, 1.038, -2.010], [2.464, -2.638, -3.219], [-1.351, -5.055, -1.593]],
  "species": ["Ru", "Ru", "Ag", "Os"],
  "fractional_positions": [[0.500, 0.500, 0.000], [0.000, 0.000, 0.000], [0.500, 0.500, 0.500], [0.000, 0.000, 0.500]],
  "spacegroup": "No. 10"
}

---

{
  "formula": "Ag2OsRu",
  "functional": "GGA-PBE",
  "state": "optimized geometry",
  "lattice": [[-1.808, 3.413, -3.528], [-3.085, -3.935, 1.537], [-0.958, 1.515, 1.956]],
  "species": ["Ru", "Os", "Ag", "Ag"],
  "fractional_positions": [[0.000, 0.500, 0.500], [0.500, 0.000, 0.500], [0.000, 0.000, 0.000], [0.500, 0.500, 0.000]],
  "spacegroup": "No. 65"
}

---

{
  "formula": "AgOsRu2",
  "functional": "GGA-PBE",
  "state": "optimized geometry",
  "lattice": [[0.000, 3.113, 3.113], [3.113, 0.000, 3.113], [3.113, 3.113, 0.000]],
  "species": ["Os", "Ru", "Ru", "Ag"],
  "fractional_positions": [[0.500, 0.500, 0.500], [0.750, 0.750, 0.750], [0.250, 0.250, 0.250], [0.000, 0.000, 0.000]],
  "spacegroup": "No. 225"
}

---

{
  "formula": "AgOs2Ru",
  "functional": "GGA-PBE",
  "state": "optimized geometry",
  "lattice": [[2.766, 0.000, 0.000], [0.000, 4.653, 0.000], [0.000, 0.000, 4.711]],
  "species": ["Ag", "Os", "Os", "Ru"],
  "fractional_positions": [[0.000, 0.500, 0.500], [0.500, 0.500, 0.000], [0.000, 0.000, 0.000], [0.500, 0.000, 0.500]],
  "spacegroup": "No. 47"
}

---

{
  "formula": "AgOsRu2",
  "functional": "GGA-PBE",
  "state": "optimized geometry",
  "lattice": [[-4.429, 0.145, 1.823], [-4.414, -1.865, -0.031], [0.488, -3.238, 3.513]],
  "species": ["Os", "Ru", "Ru", "Ag"],
  "fractional_positions": [[0.259, 0.259, 0.225], [0.741, 0.741, 0.762], [0.001, 0.001, 0.009], [0.499, 0.499, 0.505]],
  "spacegroup": "No. 8"
}

---

{
  "formula": "Ag2OsRu",
  "functional": "GGA-PBE",
  "state": "optimized geometry",
  "lattice": [[-0.206, -4.732, 0.430], [1.512, -0.971, 4.404], [-3.344, 3.057, -1.448]],
  "species": ["Os", "Ag", "Ag", "Ru"],
  "fractional_positions": [[0.500, 0.500, 0.000], [0.250, 0.750, 0.500], [0.000, 0.000, 0.000], [0.750, 0.250, 0.500]],
  "spacegroup": "No. 119"
}

---

{
  "formula": "Ag2OsRu",
  "functional": "GGA-PBE",
  "state": "optimized geometry",
  "lattice": [[7.445, 0.000, 0.000], [0.000, 7.445, 0.000], [3.723, 3.723, 2.549]],
  "species": ["Os", "Os", "Ag", "Ag", "Ag", "Ag", "Ru", "Ru"],
  "fractional_positions": [[0.000, 0.000, 0.000], [0.750, 0.250, 0.500], [0.122, 0.625, 0.250], [0.875, 0.878, 0.750], [0.375, 0.372, 0.750], [0.628, 0.125, 0.250], [0.250, 0.750, 0.500], [0.500, 0.500, 0.000]],
  "spacegroup": "No. 122"
}

---

{
  "formula": "AgOsRu2",
  "functional": "GGA-PBE",
  "state": "optimized geometry",
  "lattice": [[5.579, -0.006, -0.002], [3.009, 4.698, 0.002], [-3.681, -3.468, 2.356]],
  "species": ["Os", "Ag", "Ru", "Ru"],
  "fractional_positions": [[0.222, 0.722, 0.500], [0.497, 0.497, 0.000], [0.003, 0.003, 0.000], [0.777, 0.277, 0.500]],
  "spacegroup": "No. 44"
}

---

{
  "formula": "Ag2OsRu",
  "functional": "GGA-PBE",
  "state": "optimized geometry",
  "lattice": [[-6.456, -6.933, 1.146], [-4.149, -8.512, 1.178], [-5.041, -7.292, 3.531]],
  "species": ["Os", "Ag", "Ag", "Ru"],
  "fractional_positions": [[0.494, 0.494, 0.494], [0.248, 0.248, 0.248], [0.002, 0.002, 0.002], [0.756, 0.756, 0.756]],
  "spacegroup": "No. 160"
}

---

{
  "formula": "AgOs2Ru",
  "functional": "GGA-PBE",
  "state": "optimized geometry",
  "lattice": [[4.774, -0.003, -0.003], [3.988, 2.625, -0.003], [0.779, 0.233, 4.772]],
  "species": ["Ag", "Ru", "Os", "Os"],
  "fractional_positions": [[0.751, 0.751, 0.745], [0.510, 0.510, 0.486], [0.249, 0.249, 0.242], [0.991, 0.991, 0.027]],
  "spacegroup": "No. 8"
}

---

{
  "formula": "AgOs2Ru",
  "functional": "GGA-PBE",
  "state": "optimized geometry",
  "lattice": [[7.270, 0.000, 0.000], [0.000, 7.270, 0.000], [3.635, 3.635, 2.594]],
  "species": ["Ag", "Ag", "Os", "Os", "Os", "Os", "Ru", "Ru"],
  "fractional_positions": [[0.750, 0.250, 0.500], [0.000, 0.000, 0.000], [0.375, 0.425, 0.750], [0.575, 0.125, 0.250], [0.175, 0.625, 0.250], [0.875, 0.825, 0.750], [0.250, 0.750, 0.500], [0.500, 0.500, 0.000]],
  "spacegroup": "No. 122"
}

---

{
  "formula": "AgOsRu2",
  "functional": "GGA-PBE",
  "state": "optimized geometry",
  "lattice": [[2.695, -0.003, 0.000], [-1.278, 2.373, 0.000], [0.000, 0.000, 9.562]],
  "species": ["Os", "Ag", "Ru", "Ru"],
  "fractional_positions": [[0.500, 0.500, 0.765], [0.000, 0.000, 0.498], [0.500, 0.500, 0.236], [0.000, 0.000, 0.001]],
  "spacegroup": "No. 35"
}

---

{
  "formula": "AgOs2Ru",
  "functional": "GGA-PBE",
  "state": "optimized geometry",
  "lattice": [[-4.292, 0.990, -0.215], [-2.574, -0.565, 3.537], [-1.566, 3.505, 2.171]],
  "species": ["Os", "Os", "Ru", "Ag"],
  "fractional_positions": [[0.750, 0.750, 0.750], [0.000, 0.000, 0.000], [0.250, 0.250, 0.250], [0.500, 0.500, 0.500]],
  "spacegroup": "No. 216"
}

---

no.,DFT total energy (eV per formula unit),density of states at the Fermi level (states/eV/f.u.)
1,-32.0,4.84
2,-32.0,5.65
3,-32.0,4.86
4,-51.6,9.88
5,-31.2,6.57
6,-31.4,2.94
7,-21.9,4.30
8,-30.2,5.07
9,-23.0,4.73
10,-29.7,4.34
11,-31.3,5.78
12,-30.7,5.34
13,-23.3,4.66
14,-20.7,6.83
15,-30.2,5.31
16,-24.9,4.95
17,-32.4,4.75
18,-30.1,4.75
19,-30.3,5.26
20,-31.2,4.54